Record 1
Density functional theory data (PBE) for an optimized crystal structure of HfNiPt.

Formation energy, eV/atom: -0.60
Excess energy over the best structure of this formula in the dataset, meV/atom: 204

a = 4.3546 Å, b = 4.3546 Å, c = 2.9239 Å
α = 90.00°, β = 90.00°, γ = 120.00°
With the nearest neighbours (Å) after each atom.
Fractional coordinates of all 3 atoms:
Hf1 0.0000 0.0000 0.0000  6 Ni 2.90-2.92, 6 Pt 2.90-2.91, 2 Hf 2.92
Ni1 0.6667 0.3333 0.5057  3 Pt 2.51
Pt1 0.3333 0.6667 0.4973  3 Ni 2.51

Record 2
Density functional theory data (PBE) for an optimized crystal structure of Hf6Ni2Pt.

Formation energy, eV/atom: -0.45

a = 7.6605 Å, b = 7.6605 Å, c = 7.6605 Å
α = 115.03°, β = 113.38°, γ = 100.38°
With the nearest neighbours (Å) after each atom.
Fractional coordinates of all 18 atoms:
Hf1 0.0432 0.2360 0.8072  2 Ni 2.64-2.92, 1 Pt 2.83
Hf2 0.1919 0.2970 0.4889  3 Ni 2.63-2.76, 1 Pt 2.93
Hf3 0.1919 0.7030 0.8949  3 Ni 2.63-2.76, 1 Pt 2.93
Hf4 0.3297 0.0274 0.6977  3 Ni 2.58-2.67
Hf5 0.3297 0.6320 0.3023  3 Ni 2.58-2.67
Hf6 0.4288 0.2360 0.1928  2 Ni 2.64-2.92, 1 Pt 2.83
Hf7 0.5712 0.7640 0.8072  2 Ni 2.64-2.92, 1 Pt 2.83
Hf8 0.6703 0.3680 0.6977  3 Ni 2.58-2.67
Hf9 0.6703 0.9726 0.3023  3 Ni 2.58-2.67
Hf10 0.8081 0.2970 0.1051  3 Ni 2.63-2.76, 1 Pt 2.93
Hf11 0.8081 0.7030 0.5111  3 Ni 2.63-2.76, 1 Pt 2.93
Hf12 0.9568 0.7640 0.1928  2 Ni 2.64-2.92, 1 Pt 2.83
Ni1 0.1257 0.6257 0.5000  1 Ni 2.47, 6 Hf 2.58-2.63
Ni2 0.3443 0.0000 0.3443  1 Ni 2.62, 8 Hf 2.64-2.76, 1 Pt 2.90
Ni3 0.6557 0.0000 0.6557  1 Ni 2.62, 8 Hf 2.64-2.76, 1 Pt 2.90
Ni4 0.8743 0.3743 0.5000  1 Ni 2.47, 6 Hf 2.58-2.63
Pt1 0.0000 0.0000 0.0000  8 Hf 2.83-2.93, 2 Ni 2.90
Pt2 0.5000 0.5000 0.0000  12 Hf 3.00-3.08

| no. | total energy (eV per atom) |
| --- | --- |
| 1 | -7.863 |
| 2 | -9.042 |